! PBEsol Sc3AlTe, optimized geometry; values from VASP
&SYSTEM
  ibrav = 0, nat = 5, ntyp = 3
/
ATOMIC_SPECIES
Sc 44.96 Sc.upf
Al 26.98 Al.upf
Te 127.60 Te.upf
ATOMIC_POSITIONS crystal
Sc 0.000 0.000 0.500
Sc 0.000 0.500 0.000
Sc 0.500 0.000 0.000
Al 0.500 0.500 0.500
Te 0.000 0.000 0.000
CELL_PARAMETERS angstrom
5.179 0.000 0.000
0.000 5.179 0.000
0.000 0.000 5.179
! Crystal system ... cubic
! Raw formation energy ... 0.085 eV/atom
! Space-group type ... No. 221

***

! PBEsol ScAl2Tl, optimized geometry; values from VASP
&SYSTEM
  ibrav = 0, nat = 4, ntyp = 3
/
ATOMIC_SPECIES
Sc 44.96 Sc.upf
Al 26.98 Al.upf
Tl 204.38 Tl.upf
ATOMIC_POSITIONS crystal
Sc 0.000 0.000 0.000
Al 0.500 0.000 0.541
Al 0.500 0.500 0.779
Tl 0.500 0.500 0.262
CELL_PARAMETERS angstrom
3.054 0.000 0.000
0.000 4.627 0.000
0.000 0.000 5.683
! Energy relative to the elements ... -0.135 eV/atom
! Crystal system ... orthorhombic
! Space-group type ... No. 25

***

! PBEsol Sc2AlTl, optimized geometry; values from VASP
&SYSTEM
  ibrav = 0, nat = 4, ntyp = 3
/
ATOMIC_SPECIES
Sc 44.96 Sc.upf
Al 26.98 Al.upf
Tl 204.38 Tl.upf
ATOMIC_POSITIONS crystal
Sc 0.250 0.750 0.500
Sc 0.750 0.250 0.500
Al 0.000 0.000 0.000
Tl 0.500 0.500 0.000
CELL_PARAMETERS angstrom
-2.200 2.200 4.211
2.200 -2.200 4.211
2.200 2.200 -4.211
! Energy relative to the elements ... -0.379 eV/atom
! Crystal system ... tetragonal
! Space-group type ... No. 139

***

! PBEsol Sc2AlTl, optimized geometry; values from VASP
&SYSTEM
  ibrav = 0, nat = 4, ntyp = 3
/
ATOMIC_SPECIES
Sc 44.96 Sc.upf
Al 26.98 Al.upf
Tl 204.38 Tl.upf
ATOMIC_POSITIONS crystal
Sc 0.246 0.246 0.235
Sc 0.754 0.754 0.765
Al 0.500 0.500 0.000
Tl 0.000 0.000 0.500
CELL_PARAMETERS angstrom
4.671 -1.633 0.000
4.671 1.633 0.000
-1.051 0.000 5.761
! Energy relative to the elements ... -0.227 eV/atom
! Crystal system ... monoclinic
! Space-group type ... No. 12

***

! PBEsol ScAl2Tl, optimized geometry; values from VASP
&SYSTEM
  ibrav = 0, nat = 4, ntyp = 3
/
ATOMIC_SPECIES
Sc 44.96 Sc.upf
Al 26.98 Al.upf
Tl 204.38 Tl.upf
ATOMIC_POSITIONS crystal
Sc 0.000 0.000 0.000
Al 0.250 0.750 0.500
Al 0.500 0.500 0.000
Tl 0.750 0.250 0.500
CELL_PARAMETERS angstrom
2.902 -2.903 0.000
2.902 2.903 0.000
-2.885 0.000 4.562
! Energy relative to the elements ... -0.220 eV/atom
! Crystal system ... monoclinic
! Space-group type ... No. 5

***

! PBEsol Sc2AlTl, optimized geometry; values from VASP
&SYSTEM
  ibrav = 0, nat = 4, ntyp = 3
/
ATOMIC_SPECIES
Sc 44.96 Sc.upf
Al 26.98 Al.upf
Tl 204.38 Tl.upf
ATOMIC_POSITIONS crystal
Sc 0.000 0.000 0.000
Sc 0.000 0.500 0.424
Al 0.500 0.000 0.494
Tl 0.500 0.500 0.914
CELL_PARAMETERS angstrom
3.310 0.000 0.000
0.000 4.931 0.000
0.000 0.000 5.035
! Energy relative to the elements ... -0.357 eV/atom
! Crystal system ... orthorhombic
! Space-group type ... No. 25

***

! PBEsol Sc2AlTl, optimized geometry; values from VASP
&SYSTEM
  ibrav = 0, nat = 4, ntyp = 3
/
ATOMIC_SPECIES
Sc 44.96 Sc.upf
Al 26.98 Al.upf
Tl 204.38 Tl.upf
ATOMIC_POSITIONS crystal
Sc 0.000 0.000 0.000
Sc 0.750 0.250 0.500
Al 0.250 0.750 0.500
Tl 0.500 0.500 0.000
CELL_PARAMETERS angstrom
-2.071 2.071 4.912
2.071 -2.071 4.912
2.071 2.071 -4.912
! Energy relative to the elements ... -0.286 eV/atom
! Crystal system ... tetragonal
! Space-group type ... No. 119

***

! PBEsol Sc2AlTl, optimized geometry; values from VASP
&SYSTEM
  ibrav = 0, nat = 4, ntyp = 3
/
ATOMIC_SPECIES
Sc 44.96 Sc.upf
Al 26.98 Al.upf
Tl 204.38 Tl.upf
ATOMIC_POSITIONS crystal
Sc 0.000 0.500 0.000
Sc 0.500 0.000 0.000
Al 0.000 0.000 0.500
Tl 0.500 0.500 0.500
CELL_PARAMETERS angstrom
3.088 -4.200 0.000
3.088 4.200 0.000
0.000 0.000 3.164
! Energy relative to the elements ... -0.372 eV/atom
! Crystal system ... orthorhombic
! Space-group type ... No. 65

***

Values for total DFT energy (no corrections), eV/atom, ordered as above
-5.4012, -4.4899, -5.3619, -5.2099, -4.5746, -5.3397, -5.2693, -5.3550